(1)
VASP calculation (PBEsol) on an optimized crystal structure of ZrZnMo2.

Cell: 3.2471 4.4548 9.0321 Å, 90.00 90.00 90.00°
With the nearest neighbours (Å) after each atom.
Fractional positions:
Zr1 0.0000 0.0000 0.0000  4 Zr 2.76, 2 Mo 2.89, 2 Zn 2.90
Zr2 0.5000 0.5000 0.0000  4 Zr 2.76, 2 Mo 2.89, 2 Zn 2.90
Zn1 0.0000 0.5000 0.2663  2 Mo 2.69, 4 Zn 2.76, 2 Zr 2.90
Zn2 0.5000 0.0000 0.2663  2 Mo 2.69, 4 Zn 2.76, 2 Zr 2.90
Mo1 0.0000 0.0000 0.5040  6 Mo 2.65-2.76, 2 Zn 2.69
Mo2 0.0000 0.5000 0.7359  6 Mo 2.65-2.76, 2 Zr 2.89
Mo3 0.5000 0.0000 0.7359  6 Mo 2.65-2.76, 2 Zr 2.89
Mo4 0.5000 0.5000 0.5040  6 Mo 2.65-2.76, 2 Zn 2.69

Output
Total DFT energy (no corrections)   -67.8 eV/cell
M_tot   0.00 μB per formula unit
Energy relative to the elements   73 meV/atom



(2)
VASP calculation (PBEsol) on an optimized crystal structure of Zr2ZnMo.

Cell: 4.5778 4.5778 3.4035 Å, 90.00 90.00 90.00°
With the nearest neighbours (Å) after each atom.
Fractional positions:
Zr1 0.0000 0.5000 0.0000  4 Mo 2.85, 4 Zn 2.85
Zr2 0.5000 0.0000 0.0000  4 Mo 2.85, 4 Zn 2.85
Zn1 0.0000 0.0000 0.5000  8 Zr 2.85
Mo1 0.5000 0.5000 0.5000  8 Zr 2.85

Output
Total DFT energy (no corrections)   -32.1 eV/cell
M_tot   0.00 μB per formula unit
Energy relative to the elements   -132 meV/atom



(3)
VASP calculation (PBEsol) on an optimized crystal structure of ZrZnMo2.

Cell: 3.3172 4.3359 8.9709 Å, 90.00 90.00 90.00°
With the nearest neighbours (Å) after each atom.
Fractional positions:
Zr1 0.0000 0.0000 0.0000  4 Zr 2.73, 4 Mo 2.91
Zr2 0.5000 0.5000 0.0000  4 Zr 2.73, 4 Mo 2.91
Zn1 0.0000 0.0000 0.5000  4 Mo 2.67, 4 Zn 2.73
Zn2 0.5000 0.5000 0.5000  4 Mo 2.67, 4 Zn 2.73
Mo1 0.0000 0.5000 0.2670  2 Zn 2.67, 4 Mo 2.73, 2 Zr 2.91
Mo2 0.0000 0.5000 0.7330  2 Zn 2.67, 4 Mo 2.73, 2 Zr 2.91
Mo3 0.5000 0.0000 0.2670  2 Zn 2.67, 4 Mo 2.73, 2 Zr 2.91
Mo4 0.5000 0.0000 0.7330  2 Zn 2.67, 4 Mo 2.73, 2 Zr 2.91

Output
Total DFT energy (no corrections)   -67.0 eV/cell
M_tot   0.00 μB per formula unit
Energy relative to the elements   180 meV/atom